VASP calculation (PBE) on crystalline BaZnBr2 at its relaxed geometry.

Values from the calculation:
ΔE_f (raw)	-1.31	eV per atom
distance to the lowest polymorph of the same formula	29.2	meV/atom

a b c (Å): 4.8827 4.7104 11.7379
angles (deg): 90.00 90.00 90.00
Closest atoms and distances in Å follow each position.
Space group Amm2 (No. 38)
Inequivalent atoms, fractional coordinates:
Ba 0.0000 0.0000 0.0000 (multiplicity 2)  2 Zn 3.34, 7 Br 3.39-3.48
Zn 0.5000 0.0000 0.1943 (multiplicity 2)  1 Br 2.83
Br 0.0000 0.0000 0.7114 (multiplicity 2)  3 Ba 3.39-3.42, 4 Zn 3.40
Br 0.5000 0.0000 0.4354 (multiplicity 2)  1 Zn 2.83


VASP calculation (PBE) on crystalline Al2ReW at its relaxed geometry.

Values from the calculation:
distance to the lowest polymorph of the same formula	250.8	meV/atom
energy of formation from the pure elements	-2	kJ/mol of formula units

a b c (Å): 2.7129 4.4568 5.0054
angles (deg): 90.00 98.36 90.00
Closest atoms and distances in Å follow each position.
Space group Pm (No. 6)
Inequivalent atoms, fractional coordinates:
Al 0.0000 0.0000 0.0000 (multiplicity 1)  4 Al 2.63-2.71, 3 W 2.63-2.93, 4 Re 2.73-2.94
Al 0.0688 0.5000 0.7295 (multiplicity 1)  4 Al 2.63-2.71, 3 Re 2.63-2.87, 4 W 2.77-2.92
Re 0.6410 0.5000 0.2221 (multiplicity 1)  7 Al 2.63-2.94, 2 Re 2.71, 2 W 2.72
W 0.4518 0.0000 0.5023 (multiplicity 1)  7 Al 2.63-2.93, 2 W 2.71, 2 Re 2.72


VASP calculation (PBE) on crystalline Li2Mo2As at its relaxed geometry.

Values from the calculation:
distance to the lowest polymorph of the same formula	0.0	meV/atom
energy of formation from the pure elements	119	kJ/mol of formula units

a b c (Å): 6.3138 6.3138 4.5202
angles (deg): 90.00 90.00 90.00
Closest atoms and distances in Å follow each position.
Space group P4/mbm (No. 127)
Inequivalent atoms, fractional coordinates:
Li 0.1612 0.3388 0.0000 (multiplicity 4)  1 Li 2.88, 6 Mo 2.91-2.94
Mo 0.1280 0.6280 0.5000 (multiplicity 4)  1 Mo 2.29, 2 As 2.48
As 0.0000 0.0000 0.5000 (multiplicity 2)  4 Mo 2.48


VASP calculation (PBE) on crystalline ZnNiBr at its relaxed geometry.

Values from the calculation:
ΔE_f (raw)	0.13	eV per atom
distance to the lowest polymorph of the same formula	372.1	meV/atom

a b c (Å): 3.4033 3.4033 5.3611
angles (deg): 90.00 90.00 120.00
Closest atoms and distances in Å follow each position.
Space group P3m1 (No. 156)
Inequivalent atoms, fractional coordinates:
Zn 0.0000 0.0000 0.0000 (multiplicity 1)  3 Ni 2.49
Ni 0.3333 0.6667 0.7161 (multiplicity 1)  3 Zn 2.49, 3 Br 2.56
Br 0.6667 0.3333 0.4100 (multiplicity 1)  3 Ni 2.56


VASP calculation (PBE) on crystalline KMn2Te at its relaxed geometry.

Values from the calculation:
ΔE_f (raw)	0.29	eV per atom

a b c (Å): 3.5246 3.5246 7.9978
angles (deg): 90.00 90.00 90.00
Closest atoms and distances in Å follow each position.
Space group P4mm (No. 99)
Inequivalent atoms, fractional coordinates:
K 0.0000 0.0000 0.0000 (multiplicity 1)  4 K 3.52, 4 Te 3.62, 4 Mn 3.64
Mn 0.0000 0.0000 0.4994 (multiplicity 1)  4 Mn 2.83, 4 Te 2.85
Mn 0.5000 0.5000 0.3321 (multiplicity 1)  1 Te 2.72, 4 Mn 2.83
Te 0.5000 0.5000 0.6716 (multiplicity 1)  5 Mn 2.72-2.85


VASP calculation (PBE) on crystalline Be3IrPd2 at its relaxed geometry.

Values from the calculation:
energy of formation from the pure elements	-369	kJ/mol of formula units

a b c (Å): 2.8284 2.8284 8.4571
angles (deg): 90.00 90.00 90.00
Closest atoms and distances in Å follow each position.
Space group P4/mmm (No. 123)
Inequivalent atoms, fractional coordinates:
Be 0.0000 0.0000 0.0000 (multiplicity 1)  8 Pd 2.44
Be 0.0000 0.0000 0.3498 (multiplicity 2)  4 Ir 2.37, 4 Pd 2.54, 1 Be 2.54
Ir 0.5000 0.5000 0.5000 (multiplicity 1)  8 Be 2.37
Pd 0.5000 0.5000 0.1653 (multiplicity 2)  8 Be 2.44-2.54


VASP calculation (PBE) on crystalline Dy2LuAg at its relaxed geometry.

Values from the calculation:
distance to the lowest polymorph of the same formula	164.3	meV/atom
energy of formation from the pure elements	15	kJ/mol of formula units

a b c (Å): 7.5429 7.5429 7.5429
angles (deg): 90.00 90.00 90.00
Closest atoms and distances in Å follow each position.
Space group Fm-3m (No. 225)
Inequivalent atoms, fractional coordinates:
Dy 0.2500 0.2500 0.2500 (multiplicity 8)  4 Ag 3.27, 4 Lu 3.27
Lu 0.0000 0.0000 0.0000 (multiplicity 4)  8 Dy 3.27
Ag 0.0000 0.0000 0.5000 (multiplicity 4)  8 Dy 3.27


VASP calculation (PBE) on crystalline Rb3Tm2Br9 at its relaxed geometry.

Values from the calculation:
ΔE_f (raw)	-1.84	eV per atom

a b c (Å): 13.5921 13.5921 19.7180
angles (deg): 90.00 90.00 120.00
Closest atoms and distances in Å follow each position.
Space group R-3c (No. 167, hexagonal axes)
Inequivalent atoms, fractional coordinates:
Rb 0.0000 0.3345 0.2500 (multiplicity 18)  12 Br 3.83-4.06
Tm 0.0000 0.0000 0.1525 (multiplicity 12)  6 Br 2.68-2.87
Br 0.0000 0.1571 0.7500 (multiplicity 18)  2 Tm 2.87
Br 0.0084 0.1791 0.4103 (multiplicity 36)  1 Tm 2.68


VASP calculation (PBE) on crystalline Pm3Mg5Ni2 at its relaxed geometry.

Values from the calculation:
energy of formation from the pure elements	-159	kJ/mol of formula units

a b c (Å): 10.3564 10.3564 4.2888
angles (deg): 90.00 90.00 90.00
Closest atoms and distances in Å follow each position.
Space group P4/mbm (No. 127)
Inequivalent atoms, fractional coordinates:
Pm 0.0000 0.0000 0.0000 (multiplicity 2)  8 Mg 3.24
Pm 0.1754 0.3246 0.0000 (multiplicity 4)  3 Ni 3.05-3.08, 2 Mg 3.35
Mg 0.0000 0.5000 0.5000 (multiplicity 2)  4 Ni 2.74, 4 Mg 2.94
Mg 0.0694 0.7755 0.5000 (multiplicity 8)  2 Ni 2.75, 2 Mg 2.94-3.02
Ni 0.1162 0.6162 0.0000 (multiplicity 4)  6 Mg 2.74-2.75, 1 Pm 3.05


VASP calculation (PBE) on crystalline Li2Hg at its relaxed geometry.

Values from the calculation:
energy of formation from the pure elements	-39	kJ/mol of formula units

a b c (Å): 6.4720 6.4720 6.4720
angles (deg): 90.00 90.00 90.00
Closest atoms and distances in Å follow each position.
Space group Pa-3 (No. 205)
Inequivalent atoms, fractional coordinates:
Li 0.1369 0.1369 0.1369 (multiplicity 8)  3 Hg 2.66
Hg 0.0000 0.0000 0.5000 (multiplicity 4)  6 Li 2.66


VASP calculation (PBE) on crystalline Ta4BTe5 at its relaxed geometry.

Values from the calculation:
ΔE_f (raw)	-0.41	eV per atom

a b c (Å): 16.9500 3.5763 7.7969
angles (deg): 90.00 103.14 90.00
Closest atoms and distances in Å follow each position.
Space group C2/m (No. 12)
Inequivalent atoms, fractional coordinates:
Ta 0.0038 0.0000 0.3125 (multiplicity 4)  2 B 2.32
Ta 0.1327 0.5000 0.5678 (multiplicity 4)  1 B 2.19
B 0.0000 0.5000 0.5000 (multiplicity 2)  6 Ta 2.19-2.32
Te 0.0000 0.5000 0.0000 (multiplicity 2)  4 Ta 3.01
Te 0.1606 0.0000 0.8480 (multiplicity 4)  3 Ta 2.78
Te 0.1737 0.0000 0.3248 (multiplicity 4)  3 Ta 2.80-2.86


VASP calculation (PBE) on crystalline La4GeTeI2 at its relaxed geometry.

Values from the calculation:
ΔE_f (raw)	-1.21	eV per atom

a b c (Å): 7.9623 4.5256 8.0190
angles (deg): 90.00 108.91 90.00
Closest atoms and distances in Å follow each position.
Space group P2/m (No. 10)
Inequivalent atoms, fractional coordinates:
La 0.2167 0.0000 0.2090 (multiplicity 2)  2 Ge 3.01, 1 Te 3.22, 1 I 3.32
La 0.2372 0.5000 0.7812 (multiplicity 2)  1 Ge 2.97, 2 Te 3.19, 2 I 3.32
Ge 0.0000 0.5000 0.0000 (multiplicity 1)  6 La 2.97-3.01
Te 0.5000 0.0000 0.0000 (multiplicity 1)  6 La 3.19-3.22
I 0.0000 0.0000 0.5000 (multiplicity 1)  6 La 3.32
I 0.5000 0.5000 0.5000 (multiplicity 1)  6 La 3.50-3.54


VASP calculation (PBE) on crystalline AcEuBi2 at its relaxed geometry.

Values from the calculation:
distance to the lowest polymorph of the same formula	0.0	meV/atom
energy of formation from the pure elements	-326	kJ/mol of formula units

a b c (Å): 4.8090 4.8090 23.2937
angles (deg): 90.00 90.00 120.00
Closest atoms and distances in Å follow each position.
Space group R-3m (No. 166, hexagonal axes)
Inequivalent atoms, fractional coordinates:
Ac 0.0000 0.0000 0.0000 (multiplicity 3)  6 Bi 3.44
Eu 0.0000 0.0000 0.5000 (multiplicity 3)  6 Bi 3.34
Bi 0.0000 0.0000 0.2464 (multiplicity 6)  3 Eu 3.34, 3 Ac 3.44


VASP calculation (PBE) on crystalline Ac3TlGe2Pd6 at its relaxed geometry.

Values from the calculation:
energy of formation from the pure elements	-718	kJ/mol of formula units

a b c (Å): 5.9865 5.9865 9.1795
angles (deg): 90.00 90.00 120.00
Closest atoms and distances in Å follow each position.
Space group P-3m1 (No. 164)
Inequivalent atoms, fractional coordinates:
Ac 0.0000 0.0000 0.0000 (multiplicity 1)  6 Pd 3.10
Ac 0.3333 0.6667 0.6599 (multiplicity 2)  6 Pd 3.06
Tl 0.0000 0.0000 0.5000 (multiplicity 1)  6 Pd 2.77
Ge 0.3333 0.6667 0.0501 (multiplicity 2)  3 Pd 2.62
Pd 0.1760 0.3520 0.2731 (multiplicity 6)  1 Ge 2.62, 1 Tl 2.77, 2 Pd 2.83


VASP calculation (PBE) on crystalline Er2MgZr at its relaxed geometry.

Values from the calculation:
distance to the lowest polymorph of the same formula	69.9	meV/atom
energy of formation from the pure elements	20	kJ/mol of formula units

a b c (Å): 3.3655 3.3655 33.0598
angles (deg): 90.00 90.00 120.00
Closest atoms and distances in Å follow each position.
Space group R3m (No. 160, hexagonal axes)
Inequivalent atoms, fractional coordinates:
Er 0.0000 0.0000 0.0000 (multiplicity 3)  3 Zr 3.27, 6 Er 3.37, 3 Mg 3.47
Er 0.0000 0.0000 0.1738 (multiplicity 3)  3 Zr 3.28, 6 Er 3.37, 3 Mg 3.47
Mg 0.0000 0.0000 0.4202 (multiplicity 3)  6 Mg 3.37, 6 Er 3.47
Zr 0.0000 0.0000 0.5870 (multiplicity 3)  6 Er 3.27-3.28, 6 Zr 3.37


VASP calculation (PBE) on crystalline Rh4Se at its relaxed geometry.

Values from the calculation:
ΔE_f (raw)	0.84	eV per atom

a b c (Å): 4.5190 4.5190 4.5190
angles (deg): 90.00 90.00 90.00
Closest atoms and distances in Å follow each position.
Space group Pm-3m (No. 221)
Inequivalent atoms, fractional coordinates:
Rh 0.0000 0.0000 0.0000 (multiplicity 1)  12 Rh 3.20
Rh 0.0000 0.5000 0.5000 (multiplicity 3)  2 Se 2.26
Se 0.5000 0.5000 0.5000 (multiplicity 1)  6 Rh 2.26


VASP calculation (PBE) on crystalline YInSe at its relaxed geometry.

Values from the calculation:
ΔE_f (raw)	-0.71	eV per atom
distance to the lowest polymorph of the same formula	278.7	meV/atom

a b c (Å): 4.8166 4.8166 4.2477
angles (deg): 90.00 90.00 120.00
Closest atoms and distances in Å follow each position.
Space group P-6m2 (No. 187)
Inequivalent atoms, fractional coordinates:
Y 0.0000 0.0000 0.0000 (multiplicity 1)  3 Se 2.78
In 0.3333 0.6667 0.5000 (multiplicity 1)  6 Y 3.50, 6 Se 3.50
Se 0.6667 0.3333 0.0000 (multiplicity 1)  3 Y 2.78


VASP calculation (PBE) on crystalline Pm2Ga2HRu2 at its relaxed geometry.

a b c (Å): 10.9956 3.9418 7.3884
angles (deg): 90.00 128.00 90.00
Closest atoms and distances in Å follow each position.
Space group C2/m (No. 12)
Inequivalent atoms, fractional coordinates:
Pm 0.0626 0.0000 0.2886 (multiplicity 4)  2 H 2.66
Ga 0.1493 0.5000 0.6907 (multiplicity 4)  3 Ru 2.50-2.60, 1 Ga 2.71
H 0.0000 0.5000 0.0000 (multiplicity 2)  2 Ru 1.80
Ru 0.1897 0.5000 0.0760 (multiplicity 4)  1 H 1.80


VASP calculation (PBE) on crystalline ZrCd2Pt at its relaxed geometry.

Values from the calculation:
energy of formation from the pure elements	-9	kJ/mol of formula units

a b c (Å): 8.0397 8.0397 5.4272
angles (deg): 90.00 90.00 90.00
Closest atoms and distances in Å follow each position.
Space group I-42d (No. 122)
Inequivalent atoms, fractional coordinates:
Zr 0.0000 0.0000 0.0000 (multiplicity 4)  2 Pt 2.71
Cd 0.2147 0.2500 0.6250 (multiplicity 8)  2 Pt 2.73, 2 Cd 2.77
Pt 0.0000 0.0000 0.5000 (multiplicity 4)  2 Zr 2.71, 4 Cd 2.73


VASP calculation (PBE) on crystalline CrReIr2 at its relaxed geometry.

Values from the calculation:
distance to the lowest polymorph of the same formula	82.4	meV/atom
energy of formation from the pure elements	-68	kJ/mol of formula units

a b c (Å): 5.4063 5.4142 7.6537
angles (deg): 90.00 90.00 90.00
Closest atoms and distances in Å follow each position.
Space group Fmmm (No. 69)
Inequivalent atoms, fractional coordinates:
Cr 0.0000 0.0000 0.0000 (multiplicity 4)  4 Re 2.70-2.71, 8 Ir 2.71
Re 0.0000 0.0000 0.5000 (multiplicity 4)  4 Cr 2.70-2.71, 8 Ir 2.71
Ir 0.2500 0.2500 0.2500 (multiplicity 8)  4 Ir 2.70-2.71, 4 Cr 2.71, 4 Re 2.71


VASP calculation (PBE) on crystalline UCoAs2 at its relaxed geometry.

Values from the calculation:
distance to the lowest polymorph of the same formula	8.1	meV/atom
energy of formation from the pure elements	-219	kJ/mol of formula units

a b c (Å): 3.9547 3.9547 9.0574
angles (deg): 90.00 90.00 90.00
Closest atoms and distances in Å follow each position.
Space group P4/nmm (No. 129, origin choice 2)
Inequivalent atoms, fractional coordinates:
U 0.2500 0.2500 0.2485 (multiplicity 2)  8 As 2.94-3.00, 4 Co 3.02
Co 0.2500 0.7500 0.5000 (multiplicity 2)  4 As 2.40
As 0.2500 0.2500 0.6504 (multiplicity 2)  4 Co 2.40
As 0.2500 0.7500 0.0000 (multiplicity 2)  4 As 2.80, 4 U 3.00


VASP calculation (PBE) on crystalline BaSi2Au at its relaxed geometry.

Values from the calculation:
ΔE_f (raw)	0.27	eV per atom

a b c (Å): 7.1731 7.1731 7.1731
angles (deg): 90.00 90.00 90.00
Closest atoms and distances in Å follow each position.
Space group Fm-3m (No. 225)
Inequivalent atoms, fractional coordinates:
Ba 0.0000 0.0000 0.0000 (multiplicity 4)  8 Si 3.11
Si 0.2500 0.2500 0.2500 (multiplicity 8)  4 Ba 3.11, 4 Au 3.11
Au 0.0000 0.0000 0.5000 (multiplicity 4)  8 Si 3.11


VASP calculation (PBE) on crystalline SmAl3AgHg at its relaxed geometry.

Values from the calculation:
energy of formation from the pure elements	10	kJ/mol of formula units

a b c (Å): 5.8410 17.1063 5.9069
angles (deg): 90.00 90.00 90.00
Closest atoms and distances in Å follow each position.
Space group Cmcm (No. 63)
Inequivalent atoms, fractional coordinates:
Sm 0.0000 0.1713 0.2500 (multiplicity 4)  2 Hg 3.13, 4 Al 3.15-3.32, 2 Ag 3.23
Al 0.0000 0.2602 0.7500 (multiplicity 4)  1 Ag 2.55, 1 Hg 2.56
Al 0.2380 0.0000 0.0000 (multiplicity 8)  2 Ag 2.63, 2 Hg 2.77, 1 Al 2.78
Ag 0.0000 0.4093 0.7500 (multiplicity 4)  5 Al 2.55-2.63
Hg 0.0000 0.1103 0.7500 (multiplicity 4)  5 Al 2.56-2.77


VASP calculation (PBE) on crystalline Mn2InTe at its relaxed geometry.

Values from the calculation:
ΔE_f (raw)	0.32	eV per atom
distance to the lowest polymorph of the same formula	133.8	meV/atom

a b c (Å): 3.4933 3.4933 6.2766
angles (deg): 90.00 90.00 90.00
Closest atoms and distances in Å follow each position.
Space group P4/mmm (No. 123)
Inequivalent atoms, fractional coordinates:
Mn 0.0000 0.0000 0.2401 (multiplicity 2)  4 Te 2.89, 4 In 2.96, 1 Mn 3.01
In 0.5000 0.5000 0.5000 (multiplicity 1)  8 Mn 2.96, 2 Te 3.14
Te 0.5000 0.5000 0.0000 (multiplicity 1)  8 Mn 2.89, 2 In 3.14


VASP calculation (PBE) on crystalline TcAs2Os at its relaxed geometry.

Values from the calculation:
distance to the lowest polymorph of the same formula	118.2	meV/atom
energy of formation from the pure elements	57	kJ/mol of formula units

a b c (Å): 4.3514 4.3514 3.0897
angles (deg): 90.00 90.00 90.00
Closest atoms and distances in Å follow each position.
Space group P4/mmm (No. 123)
Inequivalent atoms, fractional coordinates:
Tc 0.0000 0.0000 0.0000 (multiplicity 1)  8 As 2.67
As 0.0000 0.5000 0.5000 (multiplicity 2)  4 Os 2.67, 4 Tc 2.67
Os 0.5000 0.5000 0.0000 (multiplicity 1)  8 As 2.67


no.,calculated total energy (eV per cell)
1,-23.58
2,-32.91
3,-57.82
4,-8.33
5,-21.40
6,-34.25
7,-65.67
8,-315.97
9,-70.88
10,-18.14
11,-147.77
12,-40.28
13,-76.58
14,-62.52
15,-57.19
16,-28.71
17,-14.82
18,-81.23
19,-66.05
20,-162.01
21,-59.92
22,-59.93
23,-76.01
24,-22.95
25,-30.31